[1]
! GGA-PBE La6BiTe2Se3, optimized geometry; values from VASP
! Volume, Å³/f.u.: 378.8
! ΔE_f (raw), eV/f.u.: -20.47
&SYSTEM
  ibrav = 0, nat = 12, ntyp = 4
/
ATOMIC_SPECIES
La 138.91 La.upf
Bi 208.98 Bi.upf
Te 127.60 Te.upf
Se 78.96 Se.upf
ATOMIC_POSITIONS crystal
La 0.328 0.933 0.656
La 0.661 0.597 0.321
La 0.672 0.067 0.344
La 0.995 0.263 0.990
La 0.005 0.737 0.010
La 0.339 0.403 0.679
Bi 0.500 0.000 0.000
Te 0.832 0.666 0.665
Te 0.168 0.334 0.335
Se 0.500 0.500 0.000
Se 0.834 0.169 0.667
Se 0.166 0.831 0.333
CELL_PARAMETERS angstrom
-2.403 -3.740 -0.127
7.149 -4.687 2.776
-3.269 4.461 8.349

[2]
! GGA-PBE La6BiTe3Se2, optimized geometry; values from VASP
! Volume, Å³/f.u.: 391.0
! ΔE_f (raw), eV/f.u.: -19.58
&SYSTEM
  ibrav = 0, nat = 12, ntyp = 4
/
ATOMIC_SPECIES
La 138.91 La.upf
Bi 208.98 Bi.upf
Te 127.60 Te.upf
Se 78.96 Se.upf
ATOMIC_POSITIONS crystal
La 0.921 0.574 0.765
La 0.728 0.728 0.230
La 0.079 0.426 0.235
La 0.574 0.921 0.765
La 0.272 0.272 0.770
La 0.426 0.079 0.235
Bi 0.000 0.000 0.000
Te 0.161 0.839 0.500
Te 0.839 0.161 0.500
Te 0.500 0.500 0.500
Se 0.332 0.668 0.000
Se 0.668 0.332 0.000
CELL_PARAMETERS angstrom
-7.617 -1.386 -0.882
3.704 -2.510 6.379
-0.255 7.712 1.592

[3]
! GGA-PBE LaTlBiSe2, optimized geometry; values from VASP
! Volume, Å³/f.u.: 193.9
! ΔE_f (raw), eV/f.u.: 0.05
&SYSTEM
  ibrav = 0, nat = 5, ntyp = 4
/
ATOMIC_SPECIES
Tl 204.38 Tl.upf
Bi 208.98 Bi.upf
Se 78.96 Se.upf
La 138.91 La.upf
ATOMIC_POSITIONS crystal
Tl 0.500 0.500 0.500
Bi 0.000 0.000 0.000
Se 0.000 0.000 0.500
Se 0.500 0.000 0.000
La 0.000 0.500 0.000
CELL_PARAMETERS angstrom
-4.206 1.888 3.226
0.068 -5.247 3.159
3.737 2.206 3.582

[4]
! GGA-PBE La2Tl3BiSe6, optimized geometry; values from VASP
! Volume, Å³/f.u.: 384.4
! ΔE_f (raw), eV/f.u.: -13.42
&SYSTEM
  ibrav = 0, nat = 12, ntyp = 4
/
ATOMIC_SPECIES
La 138.91 La.upf
Tl 204.38 Tl.upf
Bi 208.98 Bi.upf
Se 78.96 Se.upf
ATOMIC_POSITIONS crystal
La 0.333 0.667 0.000
La 0.667 0.333 0.000
Tl 0.168 0.832 0.500
Tl 0.832 0.168 0.500
Tl 0.500 0.500 0.500
Bi 0.000 0.000 0.000
Se 0.929 0.599 0.788
Se 0.742 0.742 0.215
Se 0.071 0.401 0.212
Se 0.599 0.929 0.788
Se 0.258 0.258 0.785
Se 0.401 0.071 0.212
CELL_PARAMETERS angstrom
7.596 -0.001 0.000
-3.797 6.579 0.000
-1.268 -2.195 7.692

[5]
! GGA-PBE LaTmBiSe, optimized geometry; values from VASP
! Volume, Å³/f.u.: 120.4
! ΔE_f (raw), eV/f.u.: -5.03
&SYSTEM
  ibrav = 0, nat = 4, ntyp = 4
/
ATOMIC_SPECIES
La 138.91 La.upf
Tm 168.93 Tm.upf
Bi 208.98 Bi.upf
Se 78.96 Se.upf
ATOMIC_POSITIONS crystal
La 0.973 0.385 0.373
Tm 0.298 0.547 0.860
Bi 0.122 0.959 0.096
Se 0.485 0.140 0.641
CELL_PARAMETERS angstrom
-3.936 0.242 -1.587
1.227 -3.475 2.119
-0.242 4.139 6.928

[6]
! GGA-PBE LaYBiSe, optimized geometry; values from VASP
! Volume, Å³/f.u.: 122.7
! ΔE_f (raw), eV/f.u.: -5.23
&SYSTEM
  ibrav = 0, nat = 4, ntyp = 4
/
ATOMIC_SPECIES
La 138.91 La.upf
Y 88.91 Y.upf
Bi 208.98 Bi.upf
Se 78.96 Se.upf
ATOMIC_POSITIONS crystal
La 0.973 0.384 0.372
Y 0.299 0.547 0.861
Bi 0.125 0.960 0.100
Se 0.482 0.139 0.636
CELL_PARAMETERS angstrom
4.277 0.000 0.000
-2.138 3.705 0.000
-2.138 -1.235 7.743

[7]
! GGA-PBE LaSi3Bi, optimized geometry; values from VASP
! Volume, Å³/f.u.: 149.3
! ΔE_f (raw), eV/f.u.: 4.35
&SYSTEM
  ibrav = 0, nat = 5, ntyp = 3
/
ATOMIC_SPECIES
Si 28.09 Si.upf
Bi 208.98 Bi.upf
La 138.91 La.upf
ATOMIC_POSITIONS crystal
Si 0.000 0.500 0.000
Si 0.000 0.000 0.500
Si 0.500 0.000 0.000
Bi 0.000 0.000 0.000
La 0.500 0.500 0.500
CELL_PARAMETERS angstrom
5.305 0.000 0.000
0.000 5.305 0.000
0.000 0.000 5.305

[8]
! GGA-PBE LaSi2Bi2, optimized geometry; values from VASP
! Volume, Å³/f.u.: 130.5
! ΔE_f (raw), eV/f.u.: 0.05
&SYSTEM
  ibrav = 0, nat = 5, ntyp = 3
/
ATOMIC_SPECIES
Si 28.09 Si.upf
Bi 208.98 Bi.upf
La 138.91 La.upf
ATOMIC_POSITIONS crystal
Si 0.750 0.250 0.500
Si 0.250 0.750 0.500
Bi 0.381 0.381 0.238
Bi 0.619 0.619 0.762
La 0.000 0.000 0.000
CELL_PARAMETERS angstrom
-0.157 -0.546 -3.514
-2.138 -2.796 0.530
-9.371 4.505 -2.085